VASP calculation (PBE) on a geometry-optimized La2Pr2Dy5 structure.

Cell lengths 3.5126, 9.9381, 12.4370 Å; angles 133.69, 98.12, 90.00 degrees
Closest atoms and distances in Å follow each position.
Fractional positions:
Pr 0.4949 0.6779 0.9898  6 Dy 3.50-3.69, 3 Pr 3.51-3.71, 2 La 3.74
Pr 0.5051 0.3221 0.0102  6 Dy 3.50-3.69, 3 Pr 3.51-3.71, 2 La 3.74
Dy 0.6713 0.8017 0.3426  3 La 3.47-3.63, 2 Pr 3.50-3.59, 6 Dy 3.51-3.67
Dy 0.1731 0.4808 0.3462  5 Dy 3.51-3.67, 3 La 3.55-3.59, 2 Pr 3.69
Dy 0.3287 0.1983 0.6574  3 La 3.47-3.63, 2 Pr 3.50-3.59, 6 Dy 3.51-3.67
Dy 0.8269 0.5192 0.6538  5 Dy 3.51-3.67, 3 La 3.55-3.59, 2 Pr 3.69
Dy 0.0000 0.0000 0.0000  2 La 3.39, 4 Dy 3.51-3.55, 4 Pr 3.58
La 0.8349 0.8902 0.6699  7 Dy 3.39-3.63, 2 La 3.51, 2 Pr 3.74
La 0.1651 0.1098 0.3301  7 Dy 3.39-3.63, 2 La 3.51, 2 Pr 3.74

E above lowest polymorph = 0 meV/atom
E_tot = -4.575 eV/atom
D(E_F) = 15.32 states/eV per cell
symmetry = No. 12
formation enthalpy at 0 K = 0.139 eV/atom